Entry from Alexandria via LeMat-Bulk: a relaxed Zn2CuAuS crystal (GGA-PBE).

Properties
ΔE_f (raw), meV per atom: 537
Crystal system: tetragonal
Space-group type: P4/mmm

Cell and atoms, written as CIF:
```
data_Zn2CuAuS
_chemical_formula_sum 'Zn2 Cu1 Au1 S1'
_cell_length_a 4.8392
_cell_length_b 4.8620
_cell_length_c 4.8392
_cell_angle_alpha 90.00
_cell_angle_beta 90.00
_cell_angle_gamma 90.00
_space_group_name_H-M_alt 'P 1'
_space_group_IT_number 1
loop_
_space_group_symop_operation_xyz
'x,y,z'
loop_
_atom_site_label
_atom_site_fract_x
_atom_site_fract_y
_atom_site_fract_z
Zn1 0.0000 0.0000 0.5000
Zn2 0.5000 0.0000 0.0000
Au1 0.0000 0.0000 0.0000
S1 0.5000 0.5000 0.5000
Cu1 0.0000 0.5000 0.0000
```

---

Entry from Alexandria via LeMat-Bulk: a relaxed ZrCuAu2S crystal (GGA-PBE).

Properties
ΔE_f (raw), meV per atom: 269
Crystal system: tetragonal
Space-group type: P4/mmm

Cell and atoms, written as CIF:
```
data_ZrCuAu2S
_chemical_formula_sum 'Zr1 Cu1 Au2 S1'
_cell_length_a 4.8211
_cell_length_b 4.3143
_cell_length_c 4.8211
_cell_angle_alpha 90.00
_cell_angle_beta 90.00
_cell_angle_gamma 90.00
_space_group_name_H-M_alt 'P 1'
_space_group_IT_number 1
loop_
_space_group_symop_operation_xyz
'x,y,z'
loop_
_atom_site_label
_atom_site_fract_x
_atom_site_fract_y
_atom_site_fract_z
S1 0.0000 0.5000 0.0000
Au1 0.0000 0.0000 0.5000
Au2 0.5000 0.0000 0.0000
Cu1 0.0000 0.0000 0.0000
Zr1 0.5000 0.5000 0.5000
```

---

Entry from Alexandria via LeMat-Bulk: a relaxed CuSbAu2 crystal (GGA-PBE).

Properties
ΔE_f (raw), meV per atom: 81
Crystal system: tetragonal
Space-group type: I4/mmm

Cell and atoms, written as CIF:
```
data_CuSbAu2
_chemical_formula_sum 'Cu1 Sb1 Au2'
_cell_length_a 5.1869
_cell_length_b 5.1869
_cell_length_c 5.1869
_cell_angle_alpha 132.60
_cell_angle_beta 132.60
_cell_angle_gamma 69.28
_space_group_name_H-M_alt 'P 1'
_space_group_IT_number 1
loop_
_space_group_symop_operation_xyz
'x,y,z'
loop_
_atom_site_label
_atom_site_fract_x
_atom_site_fract_y
_atom_site_fract_z
Au1 0.0000 0.0000 0.0000
Au2 0.5000 0.5000 0.0000
Cu1 0.2500 0.7500 0.5000
Sb1 0.7500 0.2500 0.5000
```

---

Entry from Alexandria via LeMat-Bulk: a relaxed Cu2SbAu2 crystal (GGA-PBE).

Properties
Relative energy among the computed polymorphs, meV per atom: 2.5
ΔE_f (raw), meV per atom: 40
Crystal system: tetragonal
Space-group type: P4/mbm

Cell and atoms, written as CIF:
```
data_Cu2SbAu2
_chemical_formula_sum 'Cu4 Sb2 Au4'
_cell_length_a 7.2781
_cell_length_b 7.2781
_cell_length_c 3.2648
_cell_angle_alpha 90.00
_cell_angle_beta 90.00
_cell_angle_gamma 90.00
_space_group_name_H-M_alt 'P 1'
_space_group_IT_number 1
loop_
_space_group_symop_operation_xyz
'x,y,z'
loop_
_atom_site_label
_atom_site_fract_x
_atom_site_fract_y
_atom_site_fract_z
Sb1 0.0000 0.0000 0.0000
Sb2 0.5000 0.5000 0.0000
Au1 0.1606 0.6606 0.5000
Au2 0.6606 0.8394 0.5000
Au3 0.8394 0.3394 0.5000
Au4 0.3394 0.1606 0.5000
Cu1 0.3687 0.8687 0.0000
Cu2 0.8687 0.6313 0.0000
Cu3 0.6313 0.1313 0.0000
Cu4 0.1313 0.3687 0.0000
```